Below is a relaxed structure of KMoRu, with properties calculated at the PBE-GGA level.

Calculated values
V: 19.4 A^3/atom
offset from the most stable computed form: 0.149 eV per atom
ΔH_f (0 K): 0.945 eV per atom

Lattice parameters (Å, degrees): 3.0755 4.6893 16.1654 90.00 90.00 90.00
Space group Fmm2 (No. 42)
Unique sites:
K (0.0000, 0.0000, 0.0000) (multiplicity 4)
Mo (0.0000, 0.0000, 0.6984) (multiplicity 4)
Ru (0.0000, 0.0000, 0.3247) (multiplicity 4)



Below is a relaxed structure of LiFeCo, with properties calculated at the PBE-GGA level.

Calculated values
V: 10.4 A^3/atom
offset from the most stable computed form: 0.229 eV per atom
ΔH_f (0 K): 0.354 eV per atom

Lattice parameters (Å, degrees): 7.4598 4.2311 4.5753 90.00 119.98 90.00
Space group Cc (No. 9)
Unique sites:
Li (0.0000, 0.0809, 0.0000) (multiplicity 4)
Fe (0.3341, 0.0802, 0.9914) (multiplicity 4)
Co (0.1659, 0.4234, 0.4997) (multiplicity 4)



Below is a relaxed structure of DyLuGaPd, with properties calculated at the PBE-GGA level.

Calculated values
V: 21.7 A^3/atom
ΔH_f (0 K): -0.726 eV per atom

Lattice parameters (Å, degrees): 7.0273 7.0273 7.0273 90.00 90.00 90.00
Space group F-43m (No. 216)
Unique sites:
Dy (0.0000, 0.0000, 0.0000) (multiplicity 4)
Lu (0.0000, 0.0000, 0.5000) (multiplicity 4)
Ga (0.2500, 0.2500, 0.2500) (multiplicity 4)
Pd (0.2500, 0.2500, 0.7500) (multiplicity 4)



Below is a relaxed structure of Tb4SnTe3, with properties calculated at the PBE-GGA level.

Calculated values
uncorrected formation energy: -118 kJ per mole of atoms
V: 30.0 A^3/atom

Lattice parameters (Å, degrees): 8.7905 12.4340 4.3938 90.00 90.00 90.00
Space group Cmmm (No. 65)
Unique sites:
Tb (0.0000, 0.2434, 0.0000) (multiplicity 4)
Tb (0.2396, 0.0000, 0.5000) (multiplicity 4)
Sn (0.0000, 0.0000, 0.0000) (multiplicity 2)
Te (0.0000, 0.5000, 0.0000) (multiplicity 2)
Te (0.2500, 0.2500, 0.5000) (multiplicity 4)



Below is a relaxed structure of Zr3SnF, with properties calculated at the PBE-GGA level.

Calculated values
uncorrected formation energy: -71 kJ per mole of atoms
V: 19.2 A^3/atom
offset from the most stable computed form: 0.000 eV per atom

Lattice parameters (Å, degrees): 4.5826 4.5826 4.5826 90.00 90.00 90.00
Space group Pm-3m (No. 221)
Unique sites:
Zr (0.0000, 0.0000, 0.5000) (multiplicity 3)
Sn (0.5000, 0.5000, 0.5000) (multiplicity 1)
F (0.0000, 0.0000, 0.0000) (multiplicity 1)



Below is a relaxed structure of Sm4YSn4, with properties calculated at the PBE-GGA level.

Calculated values
V: 33.0 A^3/atom
ΔH_f (0 K): -0.469 eV per atom

Lattice parameters (Å, degrees): 9.6925 9.6925 6.3281 90.00 90.00 90.00
Space group P4_2/n (No. 86, origin choice 2)
Unique sites:
Sm (0.0670, 0.6611, 0.1262) (multiplicity 8)
Y (0.2500, 0.2500, 0.2500) (multiplicity 2)
Sn (0.0216, 0.6300, 0.6262) (multiplicity 8)



no.,VASP energy (eV/atom),total magnetic moment (μB per cell)
1,-6.12,0.00
2,-5.47,0.00
3,-5.06,0.00
4,-5.22,0.00
5,-7.04,0.89
6,-5.06,0.00